Compound: LuScGaGe
Source: Alexandria
Functional: PBE-GGA
Structure: optimized geometry

Cell and atoms, written as extended XYZ:
```
4
Lattice="0.000 3.443 3.443 3.443 0.000 3.443 3.443 3.443 0.000" Properties=species:S:1:pos:R:3 pbc="T T T"
Lu 0.000 0.000 0.000
Sc 3.443 3.443 3.443
Ga 1.722 1.722 1.722
Ge 5.165 5.165 5.165
```

## Properties
DFT formation energy in eV/atom: -0.54
V in A^3/atom: 20.41
Crystal system: cubic
Space group: No. 216
DFT total energy in Ha/atom: -0.190